# LiMnTe2O6 (GGA+U, optimized geometry)
data_LiMnTe2O6
_space_group_name_H-M_alt 'P 1'
_space_group_IT_number 1
_cell_length_a 7.201
_cell_length_b 7.201
_cell_length_c 5.200
_cell_angle_alpha 98.15
_cell_angle_beta 98.15
_cell_angle_gamma 101.07
loop_
_space_group_symop_operation_xyz
'x,y,z'
loop_
_atom_site_label
_atom_site_type_symbol
_atom_site_fract_x
_atom_site_fract_y
_atom_site_fract_z
Li1 Li 0.194 0.806 0.750
Li2 Li 0.806 0.194 0.250
Mn1 Mn 0.081 0.919 0.250
Mn2 Mn 0.919 0.081 0.750
Te1 Te 0.217 0.461 0.331
Te2 Te 0.461 0.217 0.831
Te3 Te 0.539 0.783 0.169
Te4 Te 0.783 0.539 0.669
O1 O 0.048 0.195 0.107
O2 O 0.068 0.655 0.381
O3 O 0.195 0.048 0.607
O4 O 0.297 0.530 0.010
O5 O 0.345 0.932 0.119
O6 O 0.470 0.703 0.490
O7 O 0.530 0.297 0.510
O8 O 0.655 0.068 0.881
O9 O 0.703 0.470 0.990
O10 O 0.805 0.952 0.393
O11 O 0.932 0.345 0.619
O12 O 0.952 0.805 0.893
# Volume in Å³/atom: 12.9
# SG: C2/c
# Total DFT energy (no corrections) in eV/atom: -5.81
# Magnetic moment in Bohr magnetons per cell: 8.00

# Li4Mn5Te3O16 (GGA+U, optimized geometry)
data_Li4Mn5Te3O16
_space_group_name_H-M_alt 'P 1'
_space_group_IT_number 1
_cell_length_a 6.260
_cell_length_b 6.271
_cell_length_c 10.033
_cell_angle_alpha 89.19
_cell_angle_beta 89.42
_cell_angle_gamma 60.85
loop_
_space_group_symop_operation_xyz
'x,y,z'
loop_
_atom_site_label
_atom_site_type_symbol
_atom_site_fract_x
_atom_site_fract_y
_atom_site_fract_z
Li1 Li 0.000 0.000 0.000
Li2 Li 0.018 0.986 0.494
Li3 Li 0.343 0.345 0.131
Li4 Li 0.669 0.713 0.604
Mn1 Mn 0.160 0.180 0.782
Mn2 Mn 0.314 0.318 0.487
Mn3 Mn 0.341 0.827 0.282
Mn4 Mn 0.671 0.640 0.007
Mn5 Mn 0.836 0.330 0.284
Te1 Te 0.167 0.672 0.786
Te2 Te 0.650 0.184 0.779
Te3 Te 0.835 0.825 0.284
O1 O 0.034 0.525 0.668
O2 O 0.037 0.966 0.675
O3 O 0.146 0.684 0.389
O4 O 0.153 0.143 0.379
O5 O 0.310 0.821 0.898
O6 O 0.331 0.361 0.895
O7 O 0.470 0.067 0.648
O8 O 0.480 0.513 0.676
O9 O 0.529 0.521 0.184
O10 O 0.537 0.961 0.172
O11 O 0.688 0.685 0.402
O12 O 0.702 0.134 0.389
O13 O 0.834 0.309 0.902
O14 O 0.884 0.797 0.904
O15 O 0.970 0.523 0.178
O16 O 0.989 0.974 0.178
# Volume in Å³/atom: 12.3
# SG: P1
# Total DFT energy (no corrections) in eV/atom: -6.27
# Magnetic moment in Bohr magnetons per cell: 23.00

# Li4Mn3TeO12 (GGA+U, optimized geometry)
data_Li4Mn3TeO12
_space_group_name_H-M_alt 'P 1'
_space_group_IT_number 1
_cell_length_a 4.911
_cell_length_b 8.244
_cell_length_c 5.021
_cell_angle_alpha 90.00
_cell_angle_beta 90.15
_cell_angle_gamma 90.00
loop_
_space_group_symop_operation_xyz
'x,y,z'
loop_
_atom_site_label
_atom_site_type_symbol
_atom_site_fract_x
_atom_site_fract_y
_atom_site_fract_z
Li1 Li 0.000 0.000 0.000
Li2 Li 0.000 0.387 0.500
Li3 Li 0.500 0.508 0.500
Li4 Li 0.500 0.898 0.000
Mn1 Mn 0.000 0.803 0.500
Mn2 Mn 0.500 0.101 0.500
Mn3 Mn 0.500 0.287 0.000
Te1 Te 0.000 0.604 0.000
O1 O 0.205 0.624 0.327
O2 O 0.205 0.781 0.824
O3 O 0.244 0.446 0.842
O4 O 0.245 0.953 0.343
O5 O 0.306 0.114 0.831
O6 O 0.310 0.278 0.331
O7 O 0.690 0.278 0.669
O8 O 0.694 0.114 0.169
O9 O 0.755 0.953 0.657
O10 O 0.756 0.446 0.158
O11 O 0.795 0.624 0.673
O12 O 0.795 0.781 0.176
# Volume in Å³/atom: 10.2
# SG: P2
# Total DFT energy (no corrections) in eV/atom: -6.03
# Magnetic moment in Bohr magnetons per cell: 6.99

# LiMnTeO6 (GGA+U, optimized geometry)
data_LiMnTeO6
_space_group_name_H-M_alt 'P 1'
_space_group_IT_number 1
_cell_length_a 5.107
_cell_length_b 5.107
_cell_length_c 9.122
_cell_angle_alpha 90.00
_cell_angle_beta 90.00
_cell_angle_gamma 120.00
loop_
_space_group_symop_operation_xyz
'x,y,z'
loop_
_atom_site_label
_atom_site_type_symbol
_atom_site_fract_x
_atom_site_fract_y
_atom_site_fract_z
Li1 Li 0.000 0.000 0.000
Li2 Li 0.000 0.000 0.500
Mn1 Mn 0.333 0.667 0.250
Mn2 Mn 0.667 0.333 0.750
Te1 Te 0.333 0.667 0.750
Te2 Te 0.667 0.333 0.250
O1 O 0.004 0.362 0.135
O2 O 0.004 0.641 0.365
O3 O 0.359 0.362 0.365
O4 O 0.359 0.996 0.135
O5 O 0.362 0.004 0.635
O6 O 0.362 0.359 0.865
O7 O 0.638 0.641 0.135
O8 O 0.638 0.996 0.365
O9 O 0.641 0.004 0.865
O10 O 0.641 0.638 0.635
O11 O 0.996 0.359 0.635
O12 O 0.996 0.638 0.865
# Volume in Å³/atom: 11.4
# SG: P-31c
# Total DFT energy (no corrections) in eV/atom: -5.83
# Magnetic moment in Bohr magnetons per cell: 3.99

Among the records above, which one has the lowest total DFT energy (no corrections)? Li4Mn5Te3O16

What is the magnetic moment in the fourth record? 3.99 Bohr magnetons per cell